1.
# V5Fe4Mo (GGA-PBE, optimized geometry)
# Calculated formation energy, eV per atom: -0.103
# Crystal system: tetragonal
data_V5Fe4Mo
_cell_length_a 2.948
_cell_length_b 2.948
_cell_length_c 14.347
_cell_angle_alpha 90.00
_cell_angle_beta 90.00
_cell_angle_gamma 90.00
_space_group_name_H-M_alt 'P 1'
_space_group_IT_number 1
_space_group_name_Hall 'P 1'
loop_
_atom_site_label
_atom_site_fract_x
_atom_site_fract_y
_atom_site_fract_z
V1 0.000 0.000 0.000
V2 0.000 0.000 0.194
V3 0.000 0.000 0.393
V4 0.000 0.000 0.607
V5 0.000 0.000 0.806
Fe1 0.500 0.500 0.097
Fe2 0.500 0.500 0.291
Fe3 0.500 0.500 0.709
Fe4 0.500 0.500 0.903
Mo1 0.500 0.500 0.500

2.
# V2Fe4Mo (GGA-PBE, optimized geometry)
# Calculated formation energy, eV per atom: 1.167
# Crystal system: tetragonal
data_V2Fe4Mo
_cell_length_a 6.863
_cell_length_b 6.863
_cell_length_c 6.863
_cell_angle_alpha 143.37
_cell_angle_beta 143.37
_cell_angle_gamma 52.77
_space_group_name_H-M_alt 'P 1'
_space_group_IT_number 1
_space_group_name_Hall 'P 1'
loop_
_atom_site_label
_atom_site_fract_x
_atom_site_fract_y
_atom_site_fract_z
V1 0.117 0.117 0.000
V2 0.883 0.883 0.000
Fe1 0.000 0.500 0.500
Fe2 0.296 0.296 0.000
Fe3 0.500 0.000 0.500
Fe4 0.704 0.704 0.000
Mo1 0.500 0.500 0.000

3.
# VFeMo (GGA-PBE, optimized geometry)
# Relative energy among the computed polymorphs, meV per atom: 0
# Calculated formation energy, eV per atom: 0.005
# Crystal system: trigonal
data_VFeMo
_cell_length_a 4.229
_cell_length_b 4.229
_cell_length_c 5.215
_cell_angle_alpha 90.00
_cell_angle_beta 90.00
_cell_angle_gamma 120.00
_space_group_name_H-M_alt 'P 1'
_space_group_IT_number 1
_space_group_name_Hall 'P 1'
loop_
_atom_site_label
_atom_site_fract_x
_atom_site_fract_y
_atom_site_fract_z
V1 0.333 0.667 0.086
V2 0.667 0.333 0.914
Fe1 0.333 0.667 0.587
Fe2 0.667 0.333 0.413
Mo1 0.000 0.000 0.250
Mo2 0.000 0.000 0.750

4.
# V3FeMo (GGA-PBE, optimized geometry)
# Relative energy among the computed polymorphs, meV per atom: 0
# Calculated formation energy, eV per atom: 0.134
# Crystal system: monoclinic
data_V3FeMo
_cell_length_a 5.898
_cell_length_b 5.898
_cell_length_c 6.887
_cell_angle_alpha 118.34
_cell_angle_beta 118.34
_cell_angle_gamma 41.74
_space_group_name_H-M_alt 'P 1'
_space_group_IT_number 1
_space_group_name_Hall 'P 1'
loop_
_atom_site_label
_atom_site_fract_x
_atom_site_fract_y
_atom_site_fract_z
V1 0.078 0.078 0.230
V2 0.130 0.130 0.681
V3 0.405 0.405 0.037
V4 0.595 0.595 0.963
V5 0.870 0.870 0.319
V6 0.922 0.922 0.770
Fe1 0.220 0.220 0.090
Fe2 0.780 0.780 0.910
Mo1 0.384 0.384 0.541
Mo2 0.616 0.616 0.459

5.
# V3FeMo (GGA-PBE, optimized geometry)
# Relative energy among the computed polymorphs, meV per atom: 697
# Calculated formation energy, eV per atom: 0.832
# Crystal system: cubic
data_V3FeMo
_cell_length_a 4.250
_cell_length_b 4.250
_cell_length_c 4.250
_cell_angle_alpha 90.00
_cell_angle_beta 90.00
_cell_angle_gamma 90.00
_space_group_name_H-M_alt 'P 1'
_space_group_IT_number 1
_space_group_name_Hall 'P 1'
loop_
_atom_site_label
_atom_site_fract_x
_atom_site_fract_y
_atom_site_fract_z
V1 0.000 0.000 0.500
V2 0.000 0.500 0.000
V3 0.500 0.000 0.000
Fe1 0.000 0.000 0.000
Mo1 0.500 0.500 0.500

6.
# V12FeMo3 (GGA-PBE, optimized geometry)
# Calculated formation energy, eV per atom: 0.074
# Crystal system: tetragonal
data_V12FeMo3
_cell_length_a 3.522
_cell_length_b 3.522
_cell_length_c 17.893
_cell_angle_alpha 90.00
_cell_angle_beta 90.00
_cell_angle_gamma 90.00
_space_group_name_H-M_alt 'P 1'
_space_group_IT_number 1
_space_group_name_Hall 'P 1'
loop_
_atom_site_label
_atom_site_fract_x
_atom_site_fract_y
_atom_site_fract_z
V1 0.000 0.000 0.000
V2 0.000 0.000 0.245
V3 0.000 0.000 0.500
V4 0.000 0.000 0.755
V5 0.000 0.500 0.118
V6 0.000 0.500 0.373
V7 0.000 0.500 0.627
V8 0.000 0.500 0.882
V9 0.500 0.000 0.118
V10 0.500 0.000 0.373
V11 0.500 0.000 0.627
V12 0.500 0.000 0.882
Fe1 0.500 0.500 0.000
Mo1 0.500 0.500 0.246
Mo2 0.500 0.500 0.500
Mo3 0.500 0.500 0.754

7.
# VFeMo2 (GGA-PBE, optimized geometry)
# Relative energy among the computed polymorphs, meV per atom: 0
# Calculated formation energy, eV per atom: 0.008
# Crystal system: tetragonal
data_VFeMo2
_cell_length_a 4.291
_cell_length_b 4.291
_cell_length_c 3.057
_cell_angle_alpha 90.00
_cell_angle_beta 90.00
_cell_angle_gamma 90.00
_space_group_name_H-M_alt 'P 1'
_space_group_IT_number 1
_space_group_name_Hall 'P 1'
loop_
_atom_site_label
_atom_site_fract_x
_atom_site_fract_y
_atom_site_fract_z
V1 0.000 0.000 0.000
Fe1 0.500 0.500 0.000
Mo1 0.000 0.500 0.500
Mo2 0.500 0.000 0.500

8.
# V4Fe3Mo (GGA-PBE, optimized geometry)
# Calculated formation energy, eV per atom: -0.113
# Crystal system: orthorhombic
data_V4Fe3Mo
_cell_length_a 2.982
_cell_length_b 4.118
_cell_length_c 8.191
_cell_angle_alpha 90.00
_cell_angle_beta 90.00
_cell_angle_gamma 90.00
_space_group_name_H-M_alt 'P 1'
_space_group_IT_number 1
_space_group_name_Hall 'P 1'
loop_
_atom_site_label
_atom_site_fract_x
_atom_site_fract_y
_atom_site_fract_z
V1 0.000 0.000 0.000
V2 0.000 0.000 0.500
V3 0.000 0.500 0.242
V4 0.000 0.500 0.758
Fe1 0.500 0.000 0.240
Fe2 0.500 0.000 0.760
Fe3 0.500 0.500 0.000
Mo1 0.500 0.500 0.500

9.
# V4Fe2Mo (GGA-PBE, optimized geometry)
# Relative energy among the computed polymorphs, meV per atom: 0
# Calculated formation energy, eV per atom: 0.227
# Crystal system: tetragonal
data_V4Fe2Mo
_cell_length_a 6.646
_cell_length_b 6.646
_cell_length_c 6.646
_cell_angle_alpha 144.80
_cell_angle_beta 144.80
_cell_angle_gamma 50.63
_space_group_name_H-M_alt 'P 1'
_space_group_IT_number 1
_space_group_name_Hall 'P 1'
loop_
_atom_site_label
_atom_site_fract_x
_atom_site_fract_y
_atom_site_fract_z
V1 0.126 0.626 0.500
V2 0.374 0.874 0.500
V3 0.626 0.126 0.500
V4 0.874 0.374 0.500
Fe1 0.248 0.248 0.000
Fe2 0.752 0.752 0.000
Mo1 0.500 0.500 0.000

10.
# V2FeMo (GGA-PBE, optimized geometry)
# Calculated formation energy, eV per atom: -0.117
# Crystal system: tetragonal
data_V2FeMo
_cell_length_a 4.198
_cell_length_b 4.198
_cell_length_c 2.990
_cell_angle_alpha 90.00
_cell_angle_beta 90.00
_cell_angle_gamma 90.00
_space_group_name_H-M_alt 'P 1'
_space_group_IT_number 1
_space_group_name_Hall 'P 1'
loop_
_atom_site_label
_atom_site_fract_x
_atom_site_fract_y
_atom_site_fract_z
V1 0.000 0.500 0.000
V2 0.500 0.000 0.000
Fe1 0.000 0.000 0.500
Mo1 0.500 0.500 0.500

11.
# VFeMo2 (GGA-PBE, optimized geometry)
# Relative energy among the computed polymorphs, meV per atom: 39
# Calculated formation energy, eV per atom: 0.047
# Crystal system: cubic
data_VFeMo2
_cell_length_a 4.300
_cell_length_b 4.300
_cell_length_c 4.300
_cell_angle_alpha 60.00
_cell_angle_beta 60.00
_cell_angle_gamma 60.00
_space_group_name_H-M_alt 'P 1'
_space_group_IT_number 1
_space_group_name_Hall 'P 1'
loop_
_atom_site_label
_atom_site_fract_x
_atom_site_fract_y
_atom_site_fract_z
V1 0.000 0.000 0.000
Fe1 0.500 0.500 0.500
Mo1 0.250 0.250 0.250
Mo2 0.750 0.750 0.750

12.
# VFeMo (GGA-PBE, optimized geometry)
# Relative energy among the computed polymorphs, meV per atom: 661
# Calculated formation energy, eV per atom: 0.665
# Crystal system: trigonal
data_VFeMo
_cell_length_a 3.548
_cell_length_b 3.548
_cell_length_c 8.695
_cell_angle_alpha 90.00
_cell_angle_beta 90.00
_cell_angle_gamma 120.00
_space_group_name_H-M_alt 'P 1'
_space_group_IT_number 1
_space_group_name_Hall 'P 1'
loop_
_atom_site_label
_atom_site_fract_x
_atom_site_fract_y
_atom_site_fract_z
V1 0.333 0.667 0.105
V2 0.667 0.333 0.895
Fe1 0.333 0.667 0.787
Fe2 0.667 0.333 0.213
Mo1 0.000 0.000 0.352
Mo2 0.000 0.000 0.648